SmLuHfTh: optimized geometry, GGA-PBE.

Cell: 7.7222 7.7222 7.7222 Å, 90.00 90.00 90.00°
Space group F-43m (No. 216)
Unique sites:
Sm  0.0000  0.0000  0.0000 [4 per cell]
Lu  0.2500  0.2500  0.7500 [4 per cell]
Hf  0.2500  0.2500  0.2500 [4 per cell]
Th  0.0000  0.0000  0.5000 [4 per cell]

Calculated values
E_tot (eV for the cell shown): -103.48
D(E_F) (states/eV per cell): 20.84
Formation enthalpy at 0 K (eV/atom): 0.186
Size of the total moment (μB per cell): 0.00

***

BaTc2Pb: optimized geometry, GGA-PBE.

Cell: 3.2460 3.2460 8.8786 Å, 90.00 90.00 90.00°
Space group P4mm (No. 99)
Unique sites:
Ba  0.0000  0.0000  0.0000 [1 per cell]
Tc  0.0000  0.0000  0.5772 [1 per cell]
Tc  0.5000  0.5000  0.7148 [1 per cell]
Pb  0.5000  0.5000  0.3450 [1 per cell]

Calculated values
E_tot (eV for the cell shown): -25.05
D(E_F) (states/eV per cell): 3.01
Formation enthalpy at 0 K (eV/atom): 0.329
Size of the total moment (μB per cell): 0.00

***

RbHfIn: optimized geometry, GGA-PBE.

Cell: 3.4345 4.9377 13.4435 Å, 90.16 91.46 90.00°
Space group P1 (No. 1)
Unique sites:
Rb  0.0000  0.0000  0.0000 [1 per cell]
Rb  0.4358  0.5035  0.3167 [1 per cell]
Hf  0.4617  0.0062  0.5557 [1 per cell]
Hf  0.9795  0.0074  0.7310 [1 per cell]
In  0.4840  0.5076  0.7770 [1 per cell]
In  0.9632  0.5064  0.5711 [1 per cell]

Calculated values
Offset from the most stable computed form (eV per atom): 0.100
E_tot (eV for the cell shown): -26.38
D(E_F) (states/eV per cell): 3.98
Formation enthalpy at 0 K (eV/atom): 0.157
Size of the total moment (μB per cell): 0.00

***

Cs2CrCdBr6: optimized geometry, GGA-PBE.

Cell: 10.9856 10.9856 10.9856 Å, 90.00 90.00 90.00°
Space group Fm-3m (No. 225)
Unique sites:
Cs  0.2500  0.2500  0.2500 [8 per cell]
Cr  0.0000  0.0000  0.0000 [4 per cell]
Cd  0.0000  0.0000  0.5000 [4 per cell]
Br  0.0000  0.0000  0.2409 [24 per cell]

Calculated values
E_tot (eV for the cell shown): -135.76
D(E_F) (states/eV per cell): 7.02
Size of the total moment (μB per cell): 16.00
Formation energy from raw total energies (kJ/mol of atoms): -112.47

***

La2Pm7Sc2: optimized geometry, GGA-PBE.

Cell: 8.4723 10.8739 8.2501 Å, 90.00 103.18 90.00°
Space group C2/m (No. 12)
Unique sites:
La  0.2002  0.0000  0.4830 [4 per cell]
Pm  0.0000  0.0000  0.0000 [2 per cell]
Pm  0.0819  0.5000  0.8217 [4 per cell]
Pm  0.2019  0.2855  0.1785 [8 per cell]
Sc  0.0000  0.2891  0.5000 [4 per cell]

Calculated values
Offset from the most stable computed form (eV per atom): 0.000
E_tot (eV for the cell shown): -108.49
D(E_F) (states/eV per cell): 35.17
Formation enthalpy at 0 K (eV/atom): 0.139
Size of the total moment (μB per cell): 0.00

***

PmMg2Cu2: optimized geometry, GGA-PBE.

Cell: 4.8731 3.9209 11.0128 Å, 90.00 96.95 90.00°
Space group P2_1/m (No. 11)
Unique sites:
Pm  0.1838  0.2500  0.2426 [2 per cell]
Mg  0.2489  0.7500  0.4960 [2 per cell]
Mg  0.3516  0.2500  0.8971 [2 per cell]
Cu  0.1359  0.7500  0.0273 [2 per cell]
Cu  0.2974  0.2500  0.6574 [2 per cell]

Calculated values
Offset from the most stable computed form (eV per atom): 0.051
E_tot (eV for the cell shown): -33.30
D(E_F) (states/eV per cell): 7.20
Formation enthalpy at 0 K (eV/atom): -0.103
Size of the total moment (μB per cell): 0.00